NiP6Rh (PBE, optimized geometry); crystal system = monoclinic; calculated volume = 126 Å³/f.u.; space group = C2/m; total energy = -6.117 eV per atom
1.0
6.516 -0.038 -2.292
-3.240 5.654 -2.290
-0.011 -0.009 6.885
P Ni Rh
12 2 2
Direct
0.215 0.856 0.353
0.649 0.503 0.864
0.855 0.354 0.209
0.785 0.144 0.647
0.137 0.359 0.496
0.863 0.641 0.504
0.497 0.137 0.353
0.503 0.863 0.647
0.361 0.215 0.864
0.351 0.497 0.136
0.639 0.785 0.136
0.145 0.646 0.791
0.000 0.500 0.000
0.500 0.000 0.000
0.500 0.500 0.500
0.000 0.000 0.500